(1)
K2WBr | PBE-GGA | optimized geometry

Cell: 4.421 4.421 28.124 Å, 90.00 90.00 120.00°
Atoms (fractional coordinates):
K 0.000 0.000 0.240
K 0.000 0.000 0.760
K 0.333 0.667 0.427
K 0.333 0.667 0.906
K 0.667 0.333 0.094
K 0.667 0.333 0.573
W 0.000 0.000 0.000
W 0.333 0.667 0.667
W 0.667 0.333 0.333
Br 0.000 0.000 0.500
Br 0.333 0.667 0.167
Br 0.667 0.333 0.833

space-group type: R-3m
uncorrected formation energy: 0.752 eV per atom


(2)
K2YBr | PBE-GGA | optimized geometry

Cell: 3.881 3.777 11.890 Å, 90.00 99.28 90.00°
Atoms (fractional coordinates):
K 0.000 0.000 0.000
K 0.326 0.500 0.656
Y 0.686 0.000 0.376
Br 0.589 0.500 0.179

space-group type: Pm
uncorrected formation energy: -0.396 eV per atom


(3)
K2YBr | PBE-GGA | optimized geometry

Cell: 3.698 6.163 14.027 Å, 90.00 90.00 90.00°
Atoms (fractional coordinates):
K 0.000 0.000 0.195
K 0.000 0.000 0.805
K 0.500 0.500 0.305
K 0.500 0.500 0.695
Y 0.000 0.500 0.000
Y 0.500 0.000 0.500
Br 0.000 0.500 0.500
Br 0.500 0.000 0.000

space-group type: Immm
uncorrected formation energy: -0.183 eV per atom


(4)
K2YBr | PBE-GGA | optimized geometry

Cell: 3.738 3.738 11.593 Å, 90.00 90.00 90.00°
Atoms (fractional coordinates):
K 0.000 0.000 0.000
K 0.500 0.500 0.342
Y 0.000 0.000 0.625
Br 0.500 0.500 0.776

space-group type: P4mm
uncorrected formation energy: -0.348 eV per atom


(5)
KY2Br | PBE-GGA | optimized geometry

Cell: 4.207 5.986 10.888 Å, 90.00 90.00 90.00°
Atoms (fractional coordinates):
K 0.000 0.000 0.000
K 0.500 0.500 0.000
Y 0.000 0.000 0.564
Y 0.000 0.500 0.327
Y 0.500 0.000 0.327
Y 0.500 0.500 0.564
Br 0.000 0.500 0.766
Br 0.500 0.000 0.766

space-group type: Cmm2
uncorrected formation energy: -0.489 eV per atom


(6)
KYBr | PBE-GGA | optimized geometry

Cell: 3.888 6.581 16.798 Å, 90.00 90.00 90.00°
Atoms (fractional coordinates):
K 0.000 0.000 0.000
K 0.000 0.500 0.500
K 0.500 0.000 0.500
K 0.500 0.500 0.000
Y 0.000 0.000 0.293
Y 0.000 0.500 0.793
Y 0.500 0.000 0.793
Y 0.500 0.500 0.293
Br 0.000 0.000 0.659
Br 0.000 0.500 0.159
Br 0.500 0.000 0.159
Br 0.500 0.500 0.659

space-group type: Fmm2
uncorrected formation energy: -0.597 eV per atom


(7)
KYBr2 | PBE-GGA | optimized geometry

Cell: 4.200 4.200 29.173 Å, 90.00 90.00 120.00°
Atoms (fractional coordinates):
K 0.000 0.000 0.000
K 0.333 0.667 0.667
K 0.667 0.333 0.333
Y 0.000 0.000 0.500
Y 0.333 0.667 0.167
Y 0.667 0.333 0.833
Br 0.000 0.000 0.405
Br 0.000 0.000 0.595
Br 0.333 0.667 0.072
Br 0.333 0.667 0.262
Br 0.667 0.333 0.738
Br 0.667 0.333 0.928

space-group type: R-3m
uncorrected formation energy: -1.211 eV per atom


(8)
K2YBr | PBE-GGA | optimized geometry

Cell: 5.105 5.105 13.276 Å, 90.00 90.00 90.00°
Atoms (fractional coordinates):
K 0.000 0.000 0.000
K 0.000 0.500 0.250
K 0.500 0.000 0.750
K 0.500 0.500 0.500
Y 0.000 0.500 0.750
Y 0.500 0.000 0.250
Br 0.000 0.000 0.500
Br 0.500 0.500 0.000

space-group type: I-4m2
uncorrected formation energy: 0.003 eV per atom


(9)
KY2Br | PBE-GGA | optimized geometry

Cell: 3.750 3.685 10.574 Å, 90.00 100.18 90.00°
Atoms (fractional coordinates):
K 0.000 0.000 0.000
Y 0.327 0.500 0.660
Y 0.715 0.000 0.434
Br 0.602 0.500 0.204

space-group type: Pm
uncorrected formation energy: -0.511 eV per atom


(10)
K3YBr | PBE-GGA | optimized geometry

Cell: 7.471 7.471 7.471 Å, 90.00 90.00 90.00°
Atoms (fractional coordinates):
K 0.000 0.000 0.500
K 0.000 0.500 0.000
K 0.500 0.000 0.000
Y 0.000 0.000 0.000
Br 0.500 0.500 0.500

space-group type: Pm-3m
uncorrected formation energy: 0.446 eV per atom


(11)
K2YBr5 | PBE-GGA | optimized geometry

Cell: 13.557 9.091 8.567 Å, 90.00 90.00 90.00°
Atoms (fractional coordinates):
K 0.171 0.006 0.066
K 0.171 0.494 0.066
K 0.329 0.506 0.566
K 0.329 0.994 0.566
K 0.671 0.006 0.434
K 0.671 0.494 0.434
K 0.829 0.506 0.934
K 0.829 0.994 0.934
Y 0.005 0.250 0.576
Y 0.495 0.750 0.076
Y 0.505 0.250 0.924
Y 0.995 0.750 0.424
Br 0.011 0.250 0.915
Br 0.069 0.545 0.667
Br 0.069 0.955 0.667
Br 0.181 0.250 0.391
Br 0.199 0.750 0.350
Br 0.301 0.250 0.850
Br 0.319 0.750 0.891
Br 0.431 0.045 0.167
Br 0.431 0.455 0.167
Br 0.489 0.750 0.415
Br 0.511 0.250 0.585
Br 0.569 0.545 0.833
Br 0.569 0.955 0.833
Br 0.681 0.250 0.109
Br 0.699 0.750 0.150
Br 0.801 0.250 0.650
Br 0.819 0.750 0.609
Br 0.931 0.045 0.333
Br 0.931 0.455 0.333
Br 0.989 0.750 0.085

space-group type: Pnma
uncorrected formation energy: -1.830 eV per atom


(12)
KY2Br | PBE-GGA | optimized geometry

Cell: 3.506 6.475 6.531 Å, 90.00 90.00 90.00°
Atoms (fractional coordinates):
K 0.000 0.000 0.000
Y 0.500 0.248 0.500
Y 0.500 0.752 0.500
Br 0.000 0.500 0.000

space-group type: Pmmm
uncorrected formation energy: 0.110 eV per atom


(13)
KYBr | PBE-GGA | optimized geometry

Cell: 7.479 7.479 7.479 Å, 90.00 90.00 90.00°
Atoms (fractional coordinates):
K 0.000 0.000 0.000
K 0.000 0.500 0.500
K 0.500 0.000 0.500
K 0.500 0.500 0.000
Y 0.000 0.000 0.500
Y 0.000 0.500 0.000
Y 0.500 0.000 0.000
Y 0.500 0.500 0.500
Br 0.250 0.250 0.750
Br 0.250 0.750 0.250
Br 0.750 0.250 0.250
Br 0.750 0.750 0.750

space-group type: F-43m
uncorrected formation energy: -0.047 eV per atom


(14)
K2YBr4 | PBE-GGA | optimized geometry

Cell: 5.624 5.624 16.934 Å, 90.00 90.00 90.00°
Atoms (fractional coordinates):
K 0.000 0.000 0.139
K 0.000 0.000 0.861
K 0.500 0.500 0.361
K 0.500 0.500 0.639
Y 0.000 0.000 0.500
Y 0.500 0.500 0.000
Br 0.000 0.000 0.331
Br 0.000 0.000 0.669
Br 0.000 0.500 0.000
Br 0.000 0.500 0.500
Br 0.500 0.000 0.000
Br 0.500 0.000 0.500
Br 0.500 0.500 0.169
Br 0.500 0.500 0.831

space-group type: I4/mmm
uncorrected formation energy: -1.581 eV per atom


(15)
K2YBr | PBE-GGA | optimized geometry

Cell: 3.979 6.817 12.417 Å, 90.00 90.00 90.00°
Atoms (fractional coordinates):
K 0.000 0.000 0.000
K 0.000 0.500 0.326
K 0.500 0.000 0.326
K 0.500 0.500 0.000
Y 0.000 0.000 0.606
Y 0.500 0.500 0.606
Br 0.000 0.500 0.787
Br 0.500 0.000 0.787

space-group type: Cmm2
uncorrected formation energy: -0.397 eV per atom


(16)
KYBr2 | PBE-GGA | optimized geometry

Cell: 3.826 6.987 9.684 Å, 90.00 90.00 90.00°
Atoms (fractional coordinates):
K 0.000 0.000 0.000
K 0.500 0.500 0.000
Y 0.000 0.000 0.500
Y 0.500 0.500 0.500
Br 0.000 0.500 0.260
Br 0.000 0.500 0.740
Br 0.500 0.000 0.260
Br 0.500 0.000 0.740

space-group type: Cmmm
uncorrected formation energy: -1.124 eV per atom


(17)
KY2Br | PBE-GGA | optimized geometry

Cell: 3.692 6.376 11.915 Å, 90.00 90.00 90.00°
Atoms (fractional coordinates):
K 0.000 0.000 0.000
K 0.500 0.500 0.000
Y 0.000 0.500 0.298
Y 0.000 0.500 0.702
Y 0.500 0.000 0.298
Y 0.500 0.000 0.702
Br 0.000 0.000 0.500
Br 0.500 0.500 0.500

space-group type: Cmmm
uncorrected formation energy: -0.184 eV per atom


(18)
KYBr | PBE-GGA | optimized geometry

Cell: 4.889 4.889 6.313 Å, 90.00 90.00 120.00°
Atoms (fractional coordinates):
K 0.000 0.000 0.000
Y 0.667 0.333 0.500
Br 0.333 0.667 0.492

space-group type: P3m1
uncorrected formation energy: -0.295 eV per atom


(19)
KYBr2 | PBE-GGA | optimized geometry

Cell: 4.310 4.310 15.391 Å, 90.00 90.00 90.00°
Atoms (fractional coordinates):
K 0.000 0.000 0.000
K 0.500 0.500 0.500
Y 0.000 0.500 0.750
Y 0.500 0.000 0.250
Br 0.000 0.000 0.500
Br 0.000 0.500 0.250
Br 0.500 0.000 0.750
Br 0.500 0.500 0.000

space-group type: I-4m2
uncorrected formation energy: -0.901 eV per atom


(20)
K2YBr | PBE-GGA | optimized geometry

Cell: 4.852 4.852 13.605 Å, 90.00 90.00 90.00°
Atoms (fractional coordinates):
K 0.000 0.500 0.250
K 0.000 0.500 0.750
K 0.500 0.000 0.250
K 0.500 0.000 0.750
Y 0.000 0.000 0.000
Y 0.500 0.500 0.500
Br 0.000 0.000 0.500
Br 0.500 0.500 0.000

space-group type: I4/mmm
uncorrected formation energy: 0.016 eV per atom


(21)
KY2Br | PBE-GGA | optimized geometry

Cell: 8.100 8.100 8.100 Å, 90.00 90.00 90.00°
Atoms (fractional coordinates):
K 0.000 0.000 0.000
K 0.000 0.500 0.500
K 0.500 0.000 0.500
K 0.500 0.500 0.000
Y 0.250 0.250 0.250
Y 0.250 0.250 0.750
Y 0.250 0.750 0.250
Y 0.250 0.750 0.750
Y 0.750 0.250 0.250
Y 0.750 0.250 0.750
Y 0.750 0.750 0.250
Y 0.750 0.750 0.750
Br 0.000 0.000 0.500
Br 0.000 0.500 0.000
Br 0.500 0.000 0.000
Br 0.500 0.500 0.500

space-group type: Fm-3m
uncorrected formation energy: 0.360 eV per atom


(22)
K2YBr | PBE-GGA | optimized geometry

Cell: 11.573 11.573 5.726 Å, 90.00 90.00 90.00°
Atoms (fractional coordinates):
K 0.138 0.250 0.125
K 0.250 0.638 0.375
K 0.250 0.862 0.875
K 0.362 0.250 0.625
K 0.638 0.750 0.625
K 0.750 0.138 0.875
K 0.750 0.362 0.375
K 0.862 0.750 0.125
Y 0.000 0.000 0.500
Y 0.000 0.500 0.750
Y 0.500 0.000 0.250
Y 0.500 0.500 0.000
Br 0.000 0.000 0.000
Br 0.000 0.500 0.250
Br 0.500 0.000 0.750
Br 0.500 0.500 0.500

space-group type: I-42d
uncorrected formation energy: -0.150 eV per atom


(23)
KY2Br | PBE-GGA | optimized geometry

Cell: 6.770 13.753 3.719 Å, 90.00 123.13 90.00°
Atoms (fractional coordinates):
K 0.000 0.000 0.000
K 0.500 0.500 0.000
Y 0.250 0.250 0.000
Y 0.250 0.750 0.000
Y 0.750 0.250 0.000
Y 0.750 0.750 0.000
Br 0.000 0.500 0.000
Br 0.500 0.000 0.000

space-group type: C2/m
uncorrected formation energy: -0.096 eV per atom


(24)
KY2Br | PBE-GGA | optimized geometry

Cell: 3.711 6.605 5.719 Å, 90.00 90.05 90.00°
Atoms (fractional coordinates):
K 0.000 0.000 0.000
Y 0.274 0.500 0.248
Y 0.726 0.500 0.752
Br 0.500 0.000 0.500

space-group type: P2/m
uncorrected formation energy: -0.114 eV per atom


(25)
KYBr2 | PBE-GGA | optimized geometry

Cell: 4.130 4.130 7.961 Å, 90.00 90.00 90.00°
Atoms (fractional coordinates):
K 0.000 0.000 0.000
Y 0.500 0.500 0.436
Br 0.000 0.000 0.488
Br 0.500 0.500 0.798

space-group type: P4mm
uncorrected formation energy: -1.108 eV per atom


(26)
KY4Br | PBE-GGA | optimized geometry

Cell: 6.903 6.903 6.903 Å, 60.00 60.00 60.00°
Atoms (fractional coordinates):
K 0.000 0.000 0.000
Y 0.122 0.626 0.626
Y 0.626 0.122 0.626
Y 0.626 0.626 0.122
Y 0.626 0.626 0.626
Br 0.250 0.250 0.250

space-group type: F-43m
uncorrected formation energy: 0.414 eV per atom


(27)
KYBr2 | PBE-GGA | optimized geometry

Cell: 3.971 4.663 7.724 Å, 90.00 90.00 90.00°
Atoms (fractional coordinates):
K 0.000 0.000 0.000
Y 0.500 0.000 0.500
Br 0.000 0.500 0.500
Br 0.500 0.500 0.000

space-group type: Pmmm
uncorrected formation energy: -0.906 eV per atom


(28)
KY2Br | PBE-GGA | optimized geometry

Cell: 12.395 3.571 7.504 Å, 90.00 108.20 90.00°
Atoms (fractional coordinates):
K 0.000 0.000 0.000
K 0.500 0.500 0.000
Y 0.068 0.500 0.515
Y 0.323 0.500 0.425
Y 0.568 0.000 0.515
Y 0.823 0.000 0.425
Br 0.259 0.000 0.733
Br 0.759 0.500 0.733

space-group type: Cm
uncorrected formation energy: -0.204 eV per atom


(29)
KYBr2 | PBE-GGA | optimized geometry

Cell: 7.668 7.668 7.668 Å, 90.00 90.00 90.00°
Atoms (fractional coordinates):
K 0.000 0.000 0.000
K 0.000 0.500 0.500
K 0.500 0.000 0.500
K 0.500 0.500 0.000
Y 0.000 0.000 0.500
Y 0.000 0.500 0.000
Y 0.500 0.000 0.000
Y 0.500 0.500 0.500
Br 0.250 0.250 0.250
Br 0.250 0.250 0.750
Br 0.250 0.750 0.250
Br 0.250 0.750 0.750
Br 0.750 0.250 0.250
Br 0.750 0.250 0.750
Br 0.750 0.750 0.250
Br 0.750 0.750 0.750

space-group type: Fm-3m
uncorrected formation energy: -0.875 eV per atom